Entry 1:
Computed, not measured: Eu2SF after structural relaxation at the GGA-PBE level of DFT.

Calculated values
- Crystal system: trigonal
- E: -8.932 eV per atom
- E_form (uncorrected): -2296 meV/atom

Cell and atoms, written as POSCAR:
```
Eu2SF
1.0
2.003 1.156 6.455
-2.003 1.156 6.455
0.000 -2.313 6.455
Eu S F
2 1 1
Direct
0.246 0.246 0.246
0.754 0.754 0.754
0.000 0.000 0.000
0.500 0.500 0.500
```



Entry 2:
Computed, not measured: Eu2SbF after structural relaxation at the GGA-PBE level of DFT.

Calculated values
- Crystal system: trigonal
- E: -8.410 eV per atom
- E_form (uncorrected): -1775 meV/atom

Cell and atoms, written as POSCAR:
```
Eu2SbF
1.0
2.241 1.294 6.285
-2.241 1.294 6.285
0.000 -2.587 6.285
Eu Sb F
2 1 1
Direct
0.239 0.239 0.239
0.761 0.761 0.761
0.000 0.000 0.000
0.500 0.500 0.500
```



| no. | M_tot (μB per cell) |
| --- | --- |
| 1 | 14.74 |
| 2 | 14.00 |